Pm4DyTm5: relaxed, PBE-GGA.

a b c (Å): 3.505 8.685 11.175
angles (deg): 90.12 90.01 101.56
Positions (direct):
Pm  0.033  0.064  0.249
Pm  0.347  0.686  0.250
Pm  0.653  0.314  0.750
Pm  0.967  0.936  0.751
Dy  0.500  0.000  0.500
Tm  0.172  0.346  0.048
Tm  0.173  0.347  0.450
Tm  0.500  0.000  0.000
Tm  0.827  0.653  0.550
Tm  0.828  0.654  0.952

Summary:
Symmetry: P-1 (2)
Energy relative to the lowest polymorph listed for this composition in meV per atom: 0
Formation energy from the elements in meV per atom: 196
Raw total energy in eV per atom: -4.400